Below is crystalline Zr2Co at its relaxed geometry, with properties calculated at the PBE-GGA level.

The calculated total energy comes out at -8.063 eV per atom. The value obtained for the density of states at the Fermi level is 4.36 states/eV/f.u. The value obtained for the energy of formation from the pure elements is 5 meV/atom. The calculation puts the volume at 56 Å³/f.u. Its total moment is 0.00 μB/f.u.

The space group is P6_3/mmc (No. 194) and the conventional cell measures 4.5311, 4.5311 and 6.2613 Å, with angles of 90.00, 90.00 and 120.00 degrees. Symmetry generates all atoms from Zr at (0.0000, 0.0000, 0.0000), Zr at (0.3333, 0.6667, 0.2500) and Co at (0.3333, 0.6667, 0.7500).